[1]
This record from OQMD describes crystalline Th3Co2Ge3 at its relaxed geometry. The functional is GGA-PBE.

Geometry as CIF:
```
data_Th3Co2Ge3
_chemical_formula_sum 'Th6 Co4 Ge6'
_cell_length_a 5.827
_cell_length_b 5.827
_cell_length_c 15.267
_cell_angle_alpha 90.00
_cell_angle_beta 90.00
_cell_angle_gamma 139.03
_space_group_name_H-M_alt 'P 1'
_space_group_IT_number 1
_space_group_name_Hall 'P 1'
loop_
_atom_site_label
_atom_site_fract_x
_atom_site_fract_y
_atom_site_fract_z
Th1 0.084 0.916 0.750
Th2 0.359 0.641 0.593
Th3 0.359 0.641 0.907
Th4 0.641 0.359 0.093
Th5 0.641 0.359 0.407
Th6 0.916 0.084 0.250
Co1 0.352 0.648 0.126
Co2 0.352 0.648 0.374
Co3 0.648 0.352 0.626
Co4 0.648 0.352 0.874
Ge1 0.087 0.913 0.554
Ge2 0.087 0.913 0.946
Ge3 0.201 0.799 0.250
Ge4 0.799 0.201 0.750
Ge5 0.913 0.087 0.054
Ge6 0.913 0.087 0.446
```

[2]
This record from OQMD describes crystalline ErTlCdTe3 at its relaxed geometry. The functional is GGA-PBE.

ΔE to the lowest computed polymorph in meV/atom: 67

Geometry as CIF:
```
data_ErTlCdTe3
_chemical_formula_sum 'Er2 Tl2 Cd2 Te6'
_cell_length_a 9.868
_cell_length_b 9.868
_cell_length_c 9.789
_cell_angle_alpha 103.06
_cell_angle_beta 103.06
_cell_angle_gamma 25.85
_space_group_name_H-M_alt 'P 1'
_space_group_IT_number 1
_space_group_name_Hall 'P 1'
loop_
_atom_site_label
_atom_site_fract_x
_atom_site_fract_y
_atom_site_fract_z
Er1 0.176 0.176 0.087
Er2 0.824 0.824 0.913
Tl1 0.137 0.137 0.573
Tl2 0.863 0.863 0.427
Cd1 0.477 0.477 0.781
Cd2 0.523 0.523 0.219
Te1 0.000 0.000 0.000
Te2 0.324 0.324 0.696
Te3 0.336 0.336 0.135
Te4 0.500 0.500 0.500
Te5 0.664 0.664 0.865
Te6 0.676 0.676 0.304
```

[3]
This record from OQMD describes crystalline Be2AgPt2 at its relaxed geometry. The functional is GGA-PBE.

ΔE to the lowest computed polymorph in meV/atom: 209

Geometry as CIF:
```
data_Be2AgPt2
_chemical_formula_sum 'Be2 Ag1 Pt2'
_cell_length_a 6.163
_cell_length_b 6.163
_cell_length_c 6.163
_cell_angle_alpha 146.46
_cell_angle_beta 146.46
_cell_angle_gamma 48.17
_space_group_name_H-M_alt 'P 1'
_space_group_IT_number 1
_space_group_name_Hall 'P 1'
loop_
_atom_site_label
_atom_site_fract_x
_atom_site_fract_y
_atom_site_fract_z
Be1 0.250 0.750 0.500
Be2 0.750 0.250 0.500
Ag1 0.000 0.000 0.000
Pt1 0.376 0.376 0.000
Pt2 0.624 0.624 0.000
```

[4]
This record from OQMD describes crystalline CuNiBIr at its relaxed geometry. The functional is GGA-PBE.

ΔE to the lowest computed polymorph in meV/atom: 374

Geometry as CIF:
```
data_CuNiBIr
_chemical_formula_sum 'Cu1 Ni1 B1 Ir1'
_cell_length_a 4.005
_cell_length_b 4.005
_cell_length_c 4.005
_cell_angle_alpha 60.00
_cell_angle_beta 60.00
_cell_angle_gamma 60.00
_space_group_name_H-M_alt 'P 1'
_space_group_IT_number 1
_space_group_name_Hall 'P 1'
loop_
_atom_site_label
_atom_site_fract_x
_atom_site_fract_y
_atom_site_fract_z
Cu1 0.000 0.000 0.000
Ni1 0.500 0.500 0.500
B1 0.750 0.750 0.750
Ir1 0.250 0.250 0.250
```

[5]
This record from OQMD describes crystalline TbYGeCl2 at its relaxed geometry. The functional is GGA-PBE.

Geometry as CIF:
```
data_TbYGeCl2
_chemical_formula_sum 'Tb1 Y1 Ge1 Cl2'
_cell_length_a 4.091
_cell_length_b 4.091
_cell_length_c 9.651
_cell_angle_alpha 90.00
_cell_angle_beta 90.00
_cell_angle_gamma 120.00
_space_group_name_H-M_alt 'P 1'
_space_group_IT_number 1
_space_group_name_Hall 'P 1'
loop_
_atom_site_label
_atom_site_fract_x
_atom_site_fract_y
_atom_site_fract_z
Tb1 0.000 0.000 0.000
Y1 0.667 0.333 0.336
Ge1 0.333 0.667 0.168
Cl1 0.000 0.000 0.498
Cl2 0.667 0.333 0.838
```

[6]
This record from OQMD describes crystalline Li4CdFeSn2 at its relaxed geometry. The functional is GGA-PBE.

Geometry as CIF:
```
data_Li4CdFeSn2
_chemical_formula_sum 'Li4 Cd1 Fe1 Sn2'
_cell_length_a 4.531
_cell_length_b 4.531
_cell_length_c 6.619
_cell_angle_alpha 90.00
_cell_angle_beta 90.00
_cell_angle_gamma 90.00
_space_group_name_H-M_alt 'P 1'
_space_group_IT_number 1
_space_group_name_Hall 'P 1'
loop_
_atom_site_label
_atom_site_fract_x
_atom_site_fract_y
_atom_site_fract_z
Li1 0.000 0.000 0.000
Li2 0.000 0.500 0.232
Li3 0.500 0.000 0.768
Li4 0.500 0.500 0.500
Cd1 0.000 0.000 0.500
Fe1 0.500 0.500 0.000
Sn1 0.000 0.500 0.782
Sn2 0.500 0.000 0.218
```

[7]
This record from OQMD describes crystalline Er5CuTe3 at its relaxed geometry. The functional is GGA-PBE.

ΔE to the lowest computed polymorph in meV/atom: 32

Geometry as CIF:
```
data_Er5CuTe3
_chemical_formula_sum 'Er5 Cu1 Te3'
_cell_length_a 8.358
_cell_length_b 8.358
_cell_length_c 3.952
_cell_angle_alpha 90.00
_cell_angle_beta 90.00
_cell_angle_gamma 120.00
_space_group_name_H-M_alt 'P 1'
_space_group_IT_number 1
_space_group_name_Hall 'P 1'
loop_
_atom_site_label
_atom_site_fract_x
_atom_site_fract_y
_atom_site_fract_z
Er1 0.000 0.669 0.000
Er2 0.331 0.331 0.000
Er3 0.333 0.667 0.500
Er4 0.667 0.333 0.500
Er5 0.669 0.000 0.000
Cu1 0.000 0.000 0.000
Te1 0.000 0.275 0.500
Te2 0.275 0.000 0.500
Te3 0.725 0.725 0.500
```

[8]
This record from OQMD describes crystalline NaH6IrO6F at its relaxed geometry. The functional is GGA-PBE.

Geometry as CIF:
```
data_NaH6IrO6F
_chemical_formula_sum 'Na1 H6 Ir1 O6 F1'
_cell_length_a 5.486
_cell_length_b 5.486
_cell_length_c 5.486
_cell_angle_alpha 64.14
_cell_angle_beta 64.14
_cell_angle_gamma 64.14
_space_group_name_H-M_alt 'P 1'
_space_group_IT_number 1
_space_group_name_Hall 'P 1'
loop_
_atom_site_label
_atom_site_fract_x
_atom_site_fract_y
_atom_site_fract_z
Na1 0.000 0.000 0.000
H1 0.114 0.599 0.642
H2 0.223 0.957 0.437
H3 0.437 0.223 0.957
H4 0.599 0.642 0.114
H5 0.642 0.114 0.599
H6 0.957 0.437 0.223
Ir1 0.637 0.637 0.637
O1 0.009 0.457 0.680
O2 0.245 0.787 0.615
O3 0.457 0.680 0.009
O4 0.615 0.245 0.787
O5 0.680 0.009 0.457
O6 0.787 0.615 0.245
F1 0.184 0.184 0.184
```

[9]
This record from OQMD describes crystalline Li4Ni2BiPb at its relaxed geometry. The functional is GGA-PBE.

Geometry as CIF:
```
data_Li4Ni2BiPb
_chemical_formula_sum 'Li4 Ni2 Bi1 Pb1'
_cell_length_a 4.439
_cell_length_b 4.439
_cell_length_c 6.269
_cell_angle_alpha 90.00
_cell_angle_beta 90.00
_cell_angle_gamma 90.00
_space_group_name_H-M_alt 'P 1'
_space_group_IT_number 1
_space_group_name_Hall 'P 1'
loop_
_atom_site_label
_atom_site_fract_x
_atom_site_fract_y
_atom_site_fract_z
Li1 0.000 0.000 0.000
Li2 0.000 0.500 0.249
Li3 0.500 0.000 0.751
Li4 0.500 0.500 0.500
Ni1 0.000 0.500 0.750
Ni2 0.500 0.000 0.250
Bi1 0.000 0.000 0.500
Pb1 0.500 0.500 0.000
```

Number 1: VASP energy -6.965 eV/atom. Number 2: VASP energy -3.612 eV/atom. Number 3: VASP energy -4.780 eV/atom. Number 4: VASP energy -5.533 eV/atom. Number 5: VASP energy -5.531 eV/atom. Number 6: VASP energy -3.320 eV/atom. Number 7: VASP energy -4.461 eV/atom. Number 8: VASP energy -5.183 eV/atom. Number 9: VASP energy -3.560 eV/atom.